# 1
DFT (PBE) results for I2F after structural relaxation.

- Raw formation energy: -0.5268 eV/atom

The structure in CIF format:
```
data_I2F
_chemical_formula_sum 'I4 F2'
_cell_length_a 6.4211
_cell_length_b 6.4840
_cell_length_c 6.7416
_cell_angle_alpha 61.90
_cell_angle_beta 77.66
_cell_angle_gamma 61.11
_space_group_name_H-M_alt 'P -1'
_space_group_IT_number 2
_space_group_name_Hall '-P 1'
loop_
_atom_site_label
_atom_site_type_symbol
_atom_site_fract_x
_atom_site_fract_y
_atom_site_fract_z
_atom_site_occupancy
I1 I 0.0000 0.0000 0.0000 1
I2 I 0.0009 0.2464 0.5063 1
I3 I 0.5000 0.5000 0.0000 1
F1 F 0.2980 0.3270 0.0156 1
```

# 2
DFT (PBE) results for PmHfSn after structural relaxation.

- ΔE_f: -75.1 meV per atom

The structure in CIF format:
```
data_PmHfSn
_chemical_formula_sum 'Pm2 Hf2 Sn2'
_cell_length_a 3.8769
_cell_length_b 3.8769
_cell_length_c 10.9013
_cell_angle_alpha 90.00
_cell_angle_beta 90.00
_cell_angle_gamma 90.00
_space_group_name_H-M_alt 'P 4/n m m'
_space_group_IT_number 129
loop_
_space_group_symop_operation_xyz
'x,y,z'
'-x,-y,-z'
'-y+1/2,x,z'
'y+1/2,-x,-z'
'-x+1/2,-y+1/2,z'
'x+1/2,y+1/2,-z'
'y,-x+1/2,z'
'-y,x+1/2,-z'
'x+1/2,-y,-z'
'-x+1/2,y,z'
'-y,-x,-z'
'y,x,z'
'-x,y+1/2,-z'
'x,-y+1/2,z'
'y+1/2,x+1/2,-z'
'-y+1/2,-x+1/2,z'
loop_
_atom_site_label
_atom_site_type_symbol
_atom_site_fract_x
_atom_site_fract_y
_atom_site_fract_z
_atom_site_occupancy
Pm1 Pm 0.2500 0.2500 0.2422 1
Hf1 Hf 0.2500 0.2500 0.9416 1
Sn1 Sn 0.2500 0.2500 0.5636 1
```

# 3
DFT (PBE) results for Cs2BaIr after structural relaxation.

- ΔE_f: 831.8 meV per atom

The structure in CIF format:
```
data_Cs2BaIr
_chemical_formula_sum 'Cs8 Ba4 Ir4'
_cell_length_a 8.2924
_cell_length_b 8.2924
_cell_length_c 8.2924
_cell_angle_alpha 90.00
_cell_angle_beta 90.00
_cell_angle_gamma 90.00
_space_group_name_H-M_alt 'F m -3 m'
_space_group_IT_number 225
_space_group_name_Hall '-F 4 2 3'
loop_
_atom_site_label
_atom_site_type_symbol
_atom_site_fract_x
_atom_site_fract_y
_atom_site_fract_z
_atom_site_occupancy
Cs1 Cs 0.2500 0.2500 0.2500 1
Ba1 Ba 0.0000 0.0000 0.0000 1
Ir1 Ir 0.0000 0.0000 0.5000 1
```

no.,total DFT energy (no corrections) (eV/atom),energy above the lowest structure with this stoichiometry (kJ per mole of atoms),size of the total moment (μB per formula unit)
1,-2.184,5.46,0.0
2,-6.311,39.68,0.0
3,-2.291,0.00,0.0